Version w
{"formula": "Ac4SnRu", "functional": "PBE", "state": "optimized geometry", "m_tot_mub_per_fu": 0.0, "spacegroup": "P2_1/m, No. 11", "cell": [[7.217, 0.000, 0.000], [0.000, 9.911, 0.000], [-2.778, 0.000, 6.671]], "species": ["Ac", "Ac", "Ac", "Ac", "Ac", "Ac", "Ac", "Ac", "Sn", "Sn", "Ru", "Ru"], "fractional_positions": [[0.116, 0.250, 0.158], [0.231, 0.046, 0.729], [0.231, 0.454, 0.729], [0.341, 0.750, 0.384], [0.659, 0.250, 0.616], [0.769, 0.546, 0.271], [0.769, 0.954, 0.271], [0.884, 0.750, 0.842], [0.416, 0.750, 0.918], [0.584, 0.250, 0.082], [0.052, 0.750, 0.552], [0.948, 0.250, 0.448]]}

---

Version x
{"formula": "Ac4SnRu", "functional": "PBE", "state": "optimized geometry", "m_tot_mub_per_fu": 0.0, "spacegroup": "P2_1/m, No. 11", "cell": [[6.761, 0.000, 0.000], [0.000, 7.421, 0.000], [-0.594, 0.000, 8.703]], "species": ["Ac", "Ac", "Ac", "Ac", "Ac", "Ac", "Ac", "Ac", "Sn", "Sn", "Ru", "Ru"], "fractional_positions": [[0.092, 0.250, 0.086], [0.154, 0.750, 0.381], [0.403, 0.503, 0.784], [0.403, 0.997, 0.784], [0.597, 0.003, 0.216], [0.597, 0.497, 0.216], [0.846, 0.250, 0.619], [0.908, 0.750, 0.914], [0.301, 0.250, 0.452], [0.699, 0.750, 0.548], [0.311, 0.750, 0.067], [0.689, 0.250, 0.933]]}

---

Energy ordering: version x at the bottom, the next structure 14.4 kJ/mol of atoms above.

---

Version w
{"formula": "Ac3Sn4Ru2", "functional": "PBE", "state": "optimized geometry", "m_tot_mub_per_fu": 0.0, "spacegroup": "C2/m, No. 12", "cell": [[5.952, -2.427, 0.000], [5.952, 2.427, 0.000], [-2.285, 0.000, 8.762]], "species": ["Ac", "Ac", "Ac", "Sn", "Sn", "Sn", "Sn", "Ru", "Ru"], "fractional_positions": [[0.000, 0.000, 0.000], [0.382, 0.382, 0.309], [0.618, 0.618, 0.691], [0.105, 0.105, 0.400], [0.290, 0.290, 0.912], [0.710, 0.710, 0.088], [0.895, 0.895, 0.600], [0.307, 0.307, 0.622], [0.693, 0.693, 0.378]]}

---

Version x
{"formula": "Ac3Sn4Ru2", "functional": "PBE", "state": "optimized geometry", "m_tot_mub_per_fu": 0.0, "spacegroup": "C2/m, No. 12", "cell": [[6.111, -2.297, 0.000], [6.111, 2.297, 0.000], [-3.245, 0.000, 9.042]], "species": ["Ac", "Ac", "Ac", "Sn", "Sn", "Sn", "Sn", "Ru", "Ru"], "fractional_positions": [[0.000, 0.000, 0.000], [0.317, 0.317, 0.376], [0.683, 0.683, 0.624], [0.026, 0.026, 0.351], [0.258, 0.258, 0.903], [0.742, 0.742, 0.097], [0.974, 0.974, 0.649], [0.389, 0.389, 0.726], [0.611, 0.611, 0.274]]}

---

Energy ordering: version w at the bottom, the next structure 6.7 kJ/mol of atoms above.

---

Version w
{"formula": "Ac5Sn2Ru", "functional": "PBE", "state": "optimized geometry", "m_tot_mub_per_fu": 0.0, "spacegroup": "Cmcm, No. 63", "cell": [[3.223, -6.949, 0.000], [3.223, 6.949, 0.000], [0.000, 0.000, 15.532]], "species": ["Ac", "Ac", "Ac", "Ac", "Ac", "Ac", "Ac", "Ac", "Ac", "Ac", "Sn", "Sn", "Sn", "Sn", "Ru", "Ru"], "fractional_positions": [[0.053, 0.947, 0.619], [0.053, 0.947, 0.881], [0.299, 0.701, 0.250], [0.335, 0.665, 0.608], [0.335, 0.665, 0.892], [0.665, 0.335, 0.108], [0.665, 0.335, 0.392], [0.701, 0.299, 0.750], [0.947, 0.053, 0.119], [0.947, 0.053, 0.381], [0.181, 0.819, 0.062], [0.181, 0.819, 0.438], [0.819, 0.181, 0.562], [0.819, 0.181, 0.938], [0.189, 0.811, 0.750], [0.811, 0.189, 0.250]]}

---

Version x
{"formula": "Ac5Sn2Ru", "functional": "PBE", "state": "optimized geometry", "m_tot_mub_per_fu": 0.0, "spacegroup": "Pbam, No. 55", "cell": [[8.914, 0.000, 0.000], [0.000, 13.175, 0.000], [0.000, 0.000, 4.897]], "species": ["Ac", "Ac", "Ac", "Ac", "Ac", "Ac", "Ac", "Ac", "Ac", "Ac", "Sn", "Sn", "Sn", "Sn", "Ru", "Ru"], "fractional_positions": [[0.000, 0.000, 0.000], [0.133, 0.301, 0.000], [0.185, 0.569, 0.500], [0.315, 0.069, 0.500], [0.367, 0.801, 0.000], [0.500, 0.500, 0.000], [0.633, 0.199, 0.000], [0.685, 0.931, 0.500], [0.815, 0.431, 0.500], [0.867, 0.699, 0.000], [0.081, 0.829, 0.500], [0.419, 0.329, 0.500], [0.581, 0.671, 0.500], [0.919, 0.171, 0.500], [0.000, 0.500, 0.000], [0.500, 0.000, 0.000]]}

---

Energy ordering: version x at the bottom, the next structure 28.6 kJ/mol of atoms above.

---

Version w
{"formula": "Ac3Sn2Ru", "functional": "PBE", "state": "optimized geometry", "m_tot_mub_per_fu": 0.0, "spacegroup": "Immm, No. 71", "cell": [[-1.914, 2.854, 9.299], [1.914, -2.854, 9.299], [1.914, 2.854, -9.299]], "species": ["Ac", "Ac", "Ac", "Sn", "Sn", "Ru"], "fractional_positions": [[0.000, 0.000, 0.000], [0.349, 0.849, 0.500], [0.651, 0.151, 0.500], [0.163, 0.663, 0.500], [0.837, 0.337, 0.500], [0.500, 0.000, 0.500]]}

---

Version x
{"formula": "Ac3Sn2Ru", "functional": "PBE", "state": "optimized geometry", "m_tot_mub_per_fu": 0.0, "spacegroup": "Pnma, No. 62", "cell": [[13.403, 0.000, 0.000], [0.000, 4.539, 0.000], [0.000, 0.000, 13.064]], "species": ["Ac", "Ac", "Ac", "Ac", "Ac", "Ac", "Ac", "Ac", "Ac", "Ac", "Ac", "Ac", "Sn", "Sn", "Sn", "Sn", "Sn", "Sn", "Sn", "Sn", "Ru", "Ru", "Ru", "Ru"], "fractional_positions": [[0.052, 0.250, 0.129], [0.117, 0.750, 0.544], [0.235, 0.250, 0.788], [0.265, 0.750, 0.288], [0.383, 0.250, 0.044], [0.448, 0.750, 0.629], [0.552, 0.250, 0.371], [0.617, 0.750, 0.956], [0.735, 0.250, 0.712], [0.765, 0.750, 0.212], [0.883, 0.250, 0.456], [0.948, 0.750, 0.871], [0.013, 0.750, 0.312], [0.192, 0.750, 0.990], [0.308, 0.250, 0.490], [0.487, 0.250, 0.812], [0.513, 0.750, 0.188], [0.692, 0.750, 0.510], [0.808, 0.250, 0.010], [0.987, 0.250, 0.688], [0.135, 0.250, 0.369], [0.365, 0.750, 0.869], [0.635, 0.250, 0.131], [0.865, 0.750, 0.631]]}

---

Energy ordering: version x at the bottom, the next structure 34.2 kJ/mol of atoms above.

---

Version w
{"formula": "SrAcRu", "functional": "PBE", "state": "optimized geometry", "m_tot_mub_per_fu": 0.0, "spacegroup": "P2_1/m, No. 11", "cell": [[4.527, 0.000, 0.000], [0.000, 4.454, 0.000], [-2.262, 0.000, 11.167]], "species": ["Sr", "Sr", "Ac", "Ac", "Ru", "Ru"], "fractional_positions": [[0.189, 0.250, 0.378], [0.811, 0.750, 0.622], [0.428, 0.250, 0.856], [0.572, 0.750, 0.144], [0.022, 0.250, 0.043], [0.978, 0.750, 0.957]]}

---

Version x
{"formula": "SrAcRu", "functional": "PBE", "state": "optimized geometry", "m_tot_mub_per_fu": 0.0, "spacegroup": "P2_1/m, No. 11", "cell": [[5.595, 0.000, 0.000], [0.000, 5.595, 0.000], [-0.022, 0.000, 6.445]], "species": ["Sr", "Sr", "Ac", "Ac", "Ru", "Ru"], "fractional_positions": [[0.249, 0.250, 0.423], [0.751, 0.750, 0.577], [0.251, 0.750, 0.002], [0.749, 0.250, 0.998], [0.248, 0.250, 0.885], [0.752, 0.750, 0.115]]}

---

Energy ordering: version w at the bottom, the next structure 7.8 kJ/mol of atoms above.

---

Version w
{"formula": "Ac2TeRu", "functional": "PBE", "state": "optimized geometry", "m_tot_mub_per_fu": 0.0, "spacegroup": "R-3m, No. 166", "cell": [[2.227, 1.286, 7.778], [-2.227, 1.286, 7.778], [0.000, -2.572, 7.778]], "species": ["Ac", "Ac", "Te", "Ru"], "fractional_positions": [[0.236, 0.236, 0.236], [0.764, 0.764, 0.764], [0.000, 0.000, 0.000], [0.500, 0.500, 0.500]]}

---

Version x
{"formula": "Ac2TeRu", "functional": "PBE", "state": "optimized geometry", "m_tot_mub_per_fu": 0.0, "spacegroup": "P4/mmm, No. 123", "cell": [[3.825, 0.000, 0.000], [0.000, 3.825, 0.000], [0.000, 0.000, 8.156]], "species": ["Ac", "Ac", "Te", "Ru"], "fractional_positions": [[0.000, 0.000, 0.223], [0.000, 0.000, 0.777], [0.500, 0.500, 0.500], [0.500, 0.500, 0.000]]}

---

Energy ordering: version w at the bottom, the next structure 5.9 kJ/mol of atoms above.